# 1
Here is an optimized crystal structure of ZrSbTe2Rh from the Alexandria database. Energies are from PBEsol.

abc: 5.112 5.112 4.976
angles: 90.00 90.00 90.00
Sites, in units of the cell vectors:
Zr (0.000, 0.000, 0.000)
Sb (0.500, 0.500, 0.000)
Te (0.000, 0.500, 0.500)
Te (0.500, 0.000, 0.500)
Rh (0.500, 0.500, 0.500)

Computed properties:
As for the formation energy without anion corrections: 301.9 meV/atom. As for the calculated total energy: -27.3 eV per cell. For the volume, the calculation gives 26.0 Å³/atom.

=====

# 2
Here is an optimized crystal structure of ZnInCl2 from the Alexandria database. Energies are from PBEsol.

abc: 6.416 6.416 6.416
angles: 143.45 143.45 52.65
Sites, in units of the cell vectors:
Zn (0.000, 0.000, 0.000)
In (0.250, 0.750, 0.500)
Cl (0.500, 0.500, 0.000)
Cl (0.750, 0.250, 0.500)

Computed properties:
As for the formation energy without anion corrections: -326.6 meV/atom. As for the calculated total energy: -9.9 eV per cell. For the volume, the calculation gives 23.3 Å³/atom.